NdHo2Hg6 | PBE | relaxed

## Properties
Total DFT energy (no corrections) = -19.24 eV/f.u.
Fermi-level density of states = 6.39 states/eV/cell
ΔH_f (0 K) = -389 meV per atom

Unit cell a=8.6315 b=8.6315 c=3.4450 alpha=90.00 beta=90.00 gamma=120.00
Space group P6/mmm (No. 191)
Symmetry-distinct sites (fractional):
Nd 0.0000 0.0000 0.0000
Ho 0.3333 0.6667 0.0000
Hg 0.0000 0.3357 0.5000